1.
# Ba2LiGeF, relaxed, DFT PBE
# Size of the total moment: 0.000 μB/f.u.
# ΔE_f (raw): -1.30 eV/atom
# Uncorrected energy: -18.77 eV per cell
data_Ba2LiGeF
_chemical_formula_sum 'Ba2 Li1 Ge1 F1'
_symmetry_space_group_name_H-M 'P 1'
_symmetry_Int_Tables_number 1
_symmetry_space_group_name_Hall 'P 1'
_cell_length_a 5.579
_cell_length_b 5.579
_cell_length_c 4.405
_cell_angle_alpha 90.00
_cell_angle_beta 90.00
_cell_angle_gamma 90.00
loop_
_atom_site_label
_atom_site_fract_x
_atom_site_fract_y
_atom_site_fract_z
Ba1 0.000 0.500 0.000
Ba2 0.500 0.000 0.000
Li1 0.000 0.000 0.500
Ge1 0.500 0.500 0.500
F1 0.000 0.000 0.000

2.
# VReN2, relaxed, DFT PBE
# Size of the total moment: 0.363 μB/f.u.
# Excess energy over the best structure of this formula in the dataset: 177.7 meV/atom
# ΔE_f (raw): -0.01 eV/atom
# Uncorrected energy: -38.27 eV per cell
data_VReN2
_chemical_formula_sum 'V1 Re1 N2'
_symmetry_space_group_name_H-M 'P 1'
_symmetry_Int_Tables_number 1
_symmetry_space_group_name_Hall 'P 1'
_cell_length_a 4.779
_cell_length_b 4.779
_cell_length_c 4.779
_cell_angle_alpha 38.91
_cell_angle_beta 38.91
_cell_angle_gamma 38.91
loop_
_atom_site_label
_atom_site_fract_x
_atom_site_fract_y
_atom_site_fract_z
V1 0.000 0.000 0.000
Re1 0.500 0.500 0.500
N1 0.251 0.251 0.251
N2 0.749 0.749 0.749

3.
# Mg5ZrCd6, relaxed, DFT PBE
# Size of the total moment: 0.000 μB/f.u.
# Uncorrected energy: -23.24 eV per cell
# Formation energy from the elements: -102.1 meV/atom
data_Mg5ZrCd6
_chemical_formula_sum 'Mg5 Zr1 Cd6'
_symmetry_space_group_name_H-M 'P 1'
_symmetry_Int_Tables_number 1
_symmetry_space_group_name_Hall 'P 1'
_cell_length_a 7.620
_cell_length_b 7.620
_cell_length_c 7.527
_cell_angle_alpha 90.00
_cell_angle_beta 90.00
_cell_angle_gamma 143.81
loop_
_atom_site_label
_atom_site_fract_x
_atom_site_fract_y
_atom_site_fract_z
Mg1 0.000 0.000 0.000
Mg2 0.327 0.673 0.000
Mg3 0.343 0.657 0.500
Mg4 0.657 0.343 0.500
Mg5 0.673 0.327 0.000
Zr1 0.000 0.000 0.500
Cd1 0.168 0.832 0.257
Cd2 0.168 0.832 0.743
Cd3 0.500 0.500 0.236
Cd4 0.500 0.500 0.764
Cd5 0.832 0.168 0.257
Cd6 0.832 0.168 0.743

4.
# BeIO2F, relaxed, DFT PBE
# Size of the total moment: 0.000 μB/f.u.
# ΔE_f (raw): -0.86 eV/atom
# Uncorrected energy: -21.34 eV per cell
data_BeIO2F
_chemical_formula_sum 'Be1 I1 O2 F1'
_symmetry_space_group_name_H-M 'P 1'
_symmetry_Int_Tables_number 1
_symmetry_space_group_name_Hall 'P 1'
_cell_length_a 3.902
_cell_length_b 3.902
_cell_length_c 3.388
_cell_angle_alpha 90.00
_cell_angle_beta 90.00
_cell_angle_gamma 90.00
loop_
_atom_site_label
_atom_site_fract_x
_atom_site_fract_y
_atom_site_fract_z
Be1 0.000 0.000 0.000
I1 0.500 0.500 0.500
O1 0.000 0.500 0.000
O2 0.500 0.000 0.000
F1 0.000 0.000 0.500

5.
# Tm2Cu2Ni5Ge, relaxed, DFT PBE
# Size of the total moment: 0.000 μB/f.u.
# Uncorrected energy: -108.09 eV per cell
# Formation energy from the elements: -338.6 meV/atom
data_Tm2Cu2Ni5Ge
_chemical_formula_sum 'Tm4 Cu4 Ni10 Ge2'
_symmetry_space_group_name_H-M 'P 1'
_symmetry_Int_Tables_number 1
_symmetry_space_group_name_Hall 'P 1'
_cell_length_a 8.943
_cell_length_b 8.943
_cell_length_c 3.577
_cell_angle_alpha 90.00
_cell_angle_beta 90.00
_cell_angle_gamma 90.00
loop_
_atom_site_label
_atom_site_fract_x
_atom_site_fract_y
_atom_site_fract_z
Tm1 0.177 0.323 0.000
Tm2 0.323 0.823 0.000
Tm3 0.677 0.177 0.000
Tm4 0.823 0.677 0.000
Cu1 0.120 0.620 0.000
Cu2 0.380 0.120 0.000
Cu3 0.620 0.880 0.000
Cu4 0.880 0.380 0.000
Ni1 0.000 0.500 0.500
Ni2 0.060 0.799 0.500
Ni3 0.201 0.060 0.500
Ni4 0.299 0.560 0.500
Ni5 0.440 0.299 0.500
Ni6 0.500 0.000 0.500
Ni7 0.560 0.701 0.500
Ni8 0.701 0.440 0.500
Ni9 0.799 0.940 0.500
Ni10 0.940 0.201 0.500
Ge1 0.000 0.000 0.000
Ge2 0.500 0.500 0.000

6.
# BaCa2H8Ru, relaxed, DFT PBE
# Size of the total moment: 0.108 μB/f.u.
# Uncorrected energy: -48.82 eV per cell
data_BaCa2H8Ru
_chemical_formula_sum 'Ba1 Ca2 H8 Ru1'
_symmetry_space_group_name_H-M 'P 1'
_symmetry_Int_Tables_number 1
_symmetry_space_group_name_Hall 'P 1'
_cell_length_a 4.985
_cell_length_b 4.985
_cell_length_c 7.262
_cell_angle_alpha 90.00
_cell_angle_beta 90.00
_cell_angle_gamma 120.00
loop_
_atom_site_label
_atom_site_fract_x
_atom_site_fract_y
_atom_site_fract_z
Ba1 0.000 0.000 0.000
Ca1 0.333 0.667 0.369
Ca2 0.667 0.333 0.631
H1 0.161 0.321 0.640
H2 0.161 0.839 0.640
H3 0.321 0.161 0.360
H4 0.333 0.667 0.060
H5 0.667 0.333 0.940
H6 0.679 0.839 0.640
H7 0.839 0.161 0.360
H8 0.839 0.679 0.360
Ru1 0.000 0.000 0.500